# YS | the Alexandria database | PBE-GGA | relaxed
data_YS
_chemical_formula_sum 'Y4 S4'
_space_group_name_H-M_alt 'F -4 3 m'
_space_group_IT_number 216
_space_group_name_Hall 'F -4 2 3'
_cell_length_a 6.130
_cell_length_b 6.130
_cell_length_c 6.130
_cell_angle_alpha 90.00
_cell_angle_beta 90.00
_cell_angle_gamma 90.00
loop_
_atom_site_label
_atom_site_fract_x
_atom_site_fract_y
_atom_site_fract_z
_atom_site_occupancy
Y1 0.000 0.000 0.000 1
S1 0.250 0.250 0.250 1
# Energy relative to the elements, uncorrected, meV per atom: -1592
# Uncorrected energy, eV/cell: -55.1